P) VASP calculation (PBE) on a relaxed Ge3B crystal.

**N(E_F)**: 0.924 states/eV/atom
**Space group**: Fm-3m (225)
**Crystal system**: cubic

Structure (CIF):
```
data_Ge3B
_chemical_formula_sum 'Ge12 B4'
_symmetry_space_group_name_H-M 'P 1'
_symmetry_Int_Tables_number 1
_cell_length_a 6.419
_cell_length_b 6.419
_cell_length_c 6.419
_cell_angle_alpha 90.00
_cell_angle_beta 90.00
_cell_angle_gamma 90.00
loop_
_symmetry_equiv_pos_as_xyz
'x,y,z'
loop_
_atom_site_label
_atom_site_type_symbol
_atom_site_fract_x
_atom_site_fract_y
_atom_site_fract_z
Ge1 Ge 0.000 0.000 0.000
Ge2 Ge 0.000 0.500 0.500
Ge3 Ge 0.250 0.250 0.250
Ge4 Ge 0.250 0.250 0.750
Ge5 Ge 0.250 0.750 0.250
Ge6 Ge 0.250 0.750 0.750
Ge7 Ge 0.500 0.000 0.500
Ge8 Ge 0.500 0.500 0.000
Ge9 Ge 0.750 0.250 0.250
Ge10 Ge 0.750 0.250 0.750
Ge11 Ge 0.750 0.750 0.250
Ge12 Ge 0.750 0.750 0.750
B1 B 0.000 0.000 0.500
B2 B 0.000 0.500 0.000
B3 B 0.500 0.000 0.000
B4 B 0.500 0.500 0.500
```

---

Q) VASP calculation (PBE) on a relaxed Ge3B crystal.

**N(E_F)**: 0.732 states/eV/atom
**Space group**: Pm-3m (221)
**Crystal system**: cubic

Structure (CIF):
```
data_Ge3B
_chemical_formula_sum 'Ge3 B1'
_symmetry_space_group_name_H-M 'P 1'
_symmetry_Int_Tables_number 1
_cell_length_a 4.035
_cell_length_b 4.035
_cell_length_c 4.035
_cell_angle_alpha 90.00
_cell_angle_beta 90.00
_cell_angle_gamma 90.00
loop_
_symmetry_equiv_pos_as_xyz
'x,y,z'
loop_
_atom_site_label
_atom_site_type_symbol
_atom_site_fract_x
_atom_site_fract_y
_atom_site_fract_z
Ge1 Ge 0.000 0.000 0.500
Ge2 Ge 0.000 0.500 0.000
Ge3 Ge 0.500 0.000 0.000
B1 B 0.500 0.500 0.500
```

---

Name the least stable of them. P).

---

P) VASP calculation (PBE) on a relaxed GeBH3 crystal.

**N(E_F)**: 0.256 states/eV/atom
**Space group**: Pm-3m (221)
**Crystal system**: cubic

Structure (CIF):
```
data_GeBH3
_chemical_formula_sum 'Ge1 B1 H3'
_symmetry_space_group_name_H-M 'P 1'
_symmetry_Int_Tables_number 1
_cell_length_a 3.288
_cell_length_b 3.288
_cell_length_c 3.288
_cell_angle_alpha 90.00
_cell_angle_beta 90.00
_cell_angle_gamma 90.00
loop_
_symmetry_equiv_pos_as_xyz
'x,y,z'
loop_
_atom_site_label
_atom_site_type_symbol
_atom_site_fract_x
_atom_site_fract_y
_atom_site_fract_z
Ge1 Ge 0.000 0.000 0.000
B1 B 0.500 0.500 0.500
H1 H 0.000 0.500 0.500
H2 H 0.500 0.000 0.500
H3 H 0.500 0.500 0.000
```

---

Q) VASP calculation (PBE) on a relaxed GeBH3 crystal.

**N(E_F)**: 0.339 states/eV/atom
**Space group**: Pm-3m (221)
**Crystal system**: cubic

Structure (CIF):
```
data_GeBH3
_chemical_formula_sum 'Ge1 B1 H3'
_symmetry_space_group_name_H-M 'P 1'
_symmetry_Int_Tables_number 1
_cell_length_a 3.582
_cell_length_b 3.582
_cell_length_c 3.582
_cell_angle_alpha 90.00
_cell_angle_beta 90.00
_cell_angle_gamma 90.00
loop_
_symmetry_equiv_pos_as_xyz
'x,y,z'
loop_
_atom_site_label
_atom_site_type_symbol
_atom_site_fract_x
_atom_site_fract_y
_atom_site_fract_z
Ge1 Ge 0.000 0.000 0.000
B1 B 0.500 0.500 0.500
H1 H 0.000 0.000 0.500
H2 H 0.000 0.500 0.000
H3 H 0.500 0.000 0.000
```

---

Name the least stable of them. Q).

---

P) VASP calculation (PBE) on a relaxed GeBH2 crystal.

**N(E_F)**: 0.356 states/eV/atom
**Space group**: Fm-3m (225)
**Crystal system**: cubic

Structure (CIF):
```
data_GeBH2
_chemical_formula_sum 'Ge4 B4 H8'
_symmetry_space_group_name_H-M 'P 1'
_symmetry_Int_Tables_number 1
_cell_length_a 4.990
_cell_length_b 4.990
_cell_length_c 4.990
_cell_angle_alpha 90.00
_cell_angle_beta 90.00
_cell_angle_gamma 90.00
loop_
_symmetry_equiv_pos_as_xyz
'x,y,z'
loop_
_atom_site_label
_atom_site_type_symbol
_atom_site_fract_x
_atom_site_fract_y
_atom_site_fract_z
Ge1 Ge 0.000 0.000 0.000
Ge2 Ge 0.000 0.500 0.500
Ge3 Ge 0.500 0.000 0.500
Ge4 Ge 0.500 0.500 0.000
B1 B 0.000 0.000 0.500
B2 B 0.000 0.500 0.000
B3 B 0.500 0.000 0.000
B4 B 0.500 0.500 0.500
H1 H 0.250 0.250 0.250
H2 H 0.250 0.250 0.750
H3 H 0.250 0.750 0.250
H4 H 0.250 0.750 0.750
H5 H 0.750 0.250 0.250
H6 H 0.750 0.250 0.750
H7 H 0.750 0.750 0.250
H8 H 0.750 0.750 0.750
```

---

Q) VASP calculation (PBE) on a relaxed GeBH2 crystal.

**N(E_F)**: 0.205 states/eV/atom
**Space group**: Fd-3m (227)
**Crystal system**: cubic

Structure (CIF):
```
data_GeBH2
_chemical_formula_sum 'Ge2 B2 H4'
_symmetry_space_group_name_H-M 'P 1'
_symmetry_Int_Tables_number 1
_cell_length_a 4.624
_cell_length_b 4.624
_cell_length_c 4.624
_cell_angle_alpha 60.00
_cell_angle_beta 60.00
_cell_angle_gamma 60.00
loop_
_symmetry_equiv_pos_as_xyz
'x,y,z'
loop_
_atom_site_label
_atom_site_type_symbol
_atom_site_fract_x
_atom_site_fract_y
_atom_site_fract_z
Ge1 Ge 0.125 0.125 0.125
Ge2 Ge 0.875 0.875 0.875
B1 B 0.375 0.375 0.375
B2 B 0.625 0.625 0.625
H1 H 0.000 0.500 0.500
H2 H 0.500 0.000 0.500
H3 H 0.500 0.500 0.000
H4 H 0.500 0.500 0.500
```

---

Name the least stable of them. P).

---

P) VASP calculation (PBE) on a relaxed HfGeB3 crystal.

**N(E_F)**: 0.501 states/eV/atom
**Space group**: Pm-3m (221)
**Crystal system**: cubic

Structure (CIF):
```
data_HfGeB3
_chemical_formula_sum 'Hf1 Ge1 B3'
_symmetry_space_group_name_H-M 'P 1'
_symmetry_Int_Tables_number 1
_cell_length_a 4.034
_cell_length_b 4.034
_cell_length_c 4.034
_cell_angle_alpha 90.00
_cell_angle_beta 90.00
_cell_angle_gamma 90.00
loop_
_symmetry_equiv_pos_as_xyz
'x,y,z'
loop_
_atom_site_label
_atom_site_type_symbol
_atom_site_fract_x
_atom_site_fract_y
_atom_site_fract_z
Hf1 Hf 0.000 0.000 0.000
Ge1 Ge 0.500 0.500 0.500
B1 B 0.000 0.500 0.500
B2 B 0.500 0.000 0.500
B3 B 0.500 0.500 0.000
```

---

Q) VASP calculation (PBE) on a relaxed HfGeB3 crystal.

**N(E_F)**: 0.410 states/eV/atom
**Space group**: Pm-3m (221)
**Crystal system**: cubic

Structure (CIF):
```
data_HfGeB3
_chemical_formula_sum 'Hf1 Ge1 B3'
_symmetry_space_group_name_H-M 'P 1'
_symmetry_Int_Tables_number 1
_cell_length_a 4.437
_cell_length_b 4.437
_cell_length_c 4.437
_cell_angle_alpha 90.00
_cell_angle_beta 90.00
_cell_angle_gamma 90.00
loop_
_symmetry_equiv_pos_as_xyz
'x,y,z'
loop_
_atom_site_label
_atom_site_type_symbol
_atom_site_fract_x
_atom_site_fract_y
_atom_site_fract_z
Hf1 Hf 0.000 0.000 0.000
Ge1 Ge 0.500 0.500 0.500
B1 B 0.000 0.000 0.500
B2 B 0.000 0.500 0.000
B3 B 0.500 0.000 0.000
```

---

Name the least stable of them. Q).

---

P) VASP calculation (PBE) on a relaxed HfGe3B crystal.

**N(E_F)**: 0.797 states/eV/atom
**Space group**: Pm-3m (221)
**Crystal system**: cubic

Structure (CIF):
```
data_HfGe3B
_chemical_formula_sum 'Hf1 Ge3 B1'
_symmetry_space_group_name_H-M 'P 1'
_symmetry_Int_Tables_number 1
_cell_length_a 4.399
_cell_length_b 4.399
_cell_length_c 4.399
_cell_angle_alpha 90.00
_cell_angle_beta 90.00
_cell_angle_gamma 90.00
loop_
_symmetry_equiv_pos_as_xyz
'x,y,z'
loop_
_atom_site_label
_atom_site_type_symbol
_atom_site_fract_x
_atom_site_fract_y
_atom_site_fract_z
Hf1 Hf 0.000 0.000 0.000
Ge1 Ge 0.000 0.500 0.500
Ge2 Ge 0.500 0.000 0.500
Ge3 Ge 0.500 0.500 0.000
B1 B 0.500 0.500 0.500
```

---

Q) VASP calculation (PBE) on a relaxed HfGe3B crystal.

**N(E_F)**: 0.458 states/eV/atom
**Space group**: Pm-3m (221)
**Crystal system**: cubic

Structure (CIF):
```
data_HfGe3B
_chemical_formula_sum 'Hf1 Ge3 B1'
_symmetry_space_group_name_H-M 'P 1'
_symmetry_Int_Tables_number 1
_cell_length_a 5.146
_cell_length_b 5.146
_cell_length_c 5.146
_cell_angle_alpha 90.00
_cell_angle_beta 90.00
_cell_angle_gamma 90.00
loop_
_symmetry_equiv_pos_as_xyz
'x,y,z'
loop_
_atom_site_label
_atom_site_type_symbol
_atom_site_fract_x
_atom_site_fract_y
_atom_site_fract_z
Hf1 Hf 0.000 0.000 0.000
Ge1 Ge 0.000 0.000 0.500
Ge2 Ge 0.000 0.500 0.000
Ge3 Ge 0.500 0.000 0.000
B1 B 0.500 0.500 0.500
```

---

Name the least stable of them. Q).

---

P) VASP calculation (PBE) on a relaxed HgGeB3 crystal.

**N(E_F)**: 0.624 states/eV/atom
**Space group**: Pm-3m (221)
**Crystal system**: cubic

Structure (CIF):
```
data_HgGeB3
_chemical_formula_sum 'Hg1 Ge1 B3'
_symmetry_space_group_name_H-M 'P 1'
_symmetry_Int_Tables_number 1
_cell_length_a 4.397
_cell_length_b 4.397
_cell_length_c 4.397
_cell_angle_alpha 90.00
_cell_angle_beta 90.00
_cell_angle_gamma 90.00
loop_
_symmetry_equiv_pos_as_xyz
'x,y,z'
loop_
_atom_site_label
_atom_site_type_symbol
_atom_site_fract_x
_atom_site_fract_y
_atom_site_fract_z
Hg1 Hg 0.000 0.000 0.000
Ge1 Ge 0.500 0.500 0.500
B1 B 0.000 0.000 0.500
B2 B 0.000 0.500 0.000
B3 B 0.500 0.000 0.000
```

---

Q) VASP calculation (PBE) on a relaxed HgGeB3 crystal.

**N(E_F)**: 0.571 states/eV/atom
**Space group**: Pm-3m (221)
**Crystal system**: cubic

Structure (CIF):
```
data_HgGeB3
_chemical_formula_sum 'Hg1 Ge1 B3'
_symmetry_space_group_name_H-M 'P 1'
_symmetry_Int_Tables_number 1
_cell_length_a 4.242
_cell_length_b 4.242
_cell_length_c 4.242
_cell_angle_alpha 90.00
_cell_angle_beta 90.00
_cell_angle_gamma 90.00
loop_
_symmetry_equiv_pos_as_xyz
'x,y,z'
loop_
_atom_site_label
_atom_site_type_symbol
_atom_site_fract_x
_atom_site_fract_y
_atom_site_fract_z
Hg1 Hg 0.000 0.000 0.000
Ge1 Ge 0.500 0.500 0.500
B1 B 0.000 0.500 0.500
B2 B 0.500 0.000 0.500
B3 B 0.500 0.500 0.000
```

---

Name the least stable of them. P).